Entry 1:
Below is TiCd2Cu after structural relaxation, with properties calculated at the PBE-GGA level.

Cell and atoms, written as POSCAR:
```
TiCd2Cu
1.0
5.190 0.000 0.000
0.000 2.905 0.000
-1.764 0.000 9.546
Ti Cd Cu
2 4 2
Direct
0.000 0.000 0.000
0.500 0.500 0.000
0.230 0.000 0.735
0.414 0.000 0.265
0.730 0.500 0.735
0.914 0.500 0.265
0.321 0.500 0.499
0.821 0.000 0.499
```

Properties
The calculated density comes out at 7.8 g/cm³. Its calculated total energy is -3.309 eV/atom. For the total magnetization, the calculation gives 0.0 μB per formula unit. For the formation energy, the calculation gives 14 kJ per mole of atoms. The density of states at the Fermi level is 3.6 states/eV/f.u.

Entry 2:
Below is TiCdCu after structural relaxation, with properties calculated at the PBE-GGA level.

Cell and atoms, written as POSCAR:
```
TiCdCu
1.0
3.873 0.000 0.000
0.000 3.873 0.000
0.000 0.000 6.981
Ti Cd Cu
2 2 2
Direct
0.250 0.750 0.000
0.750 0.250 0.000
0.250 0.250 0.349
0.750 0.750 0.651
0.250 0.250 0.738
0.750 0.750 0.262
```

Properties
The calculated density comes out at 7.1 g/cm³. Its calculated total energy is -4.215 eV/atom. For the total magnetization, the calculation gives 0.0 μB per formula unit. For the formation energy, the calculation gives 8 kJ per mole of atoms. The density of states at the Fermi level is 2.4 states/eV/f.u. The calculation puts the energy above the most stable polymorph in this dataset at 158.0 meV/atom.

- Look up the density of states at the Fermi level of the second one.
  2.4 states/eV/f.u.